1.
Ac4InSn (PBE, relaxed); D(E_F) = 9.5 states/eV/cell; energy = -4.1220 eV per atom; M_tot = 0.0 Bohr magnetons per cell
1.0
-2.078 1.095 5.122
-5.078 -1.771 -1.682
1.820 -7.433 2.329
Ac Sn In
4 1 1
direct
0.001 0.497 0.246 Ac
0.501 0.997 0.246 Ac
0.501 0.997 0.750 Ac
0.001 0.497 0.750 Ac
0.001 0.997 0.498 Sn
0.501 0.497 0.998 In

---

2.
PaMnNi (PBE, relaxed); D(E_F) = 8.1 states/eV/cell; energy = -8.3802 eV per atom; M_tot = 2.7 Bohr magnetons per cell
1.0
4.391 -0.070 -2.558
-2.876 4.190 -0.024
-0.091 0.070 5.081
Pa Ni Mn
2 2 2
direct
0.750 0.878 0.128 Pa
0.250 0.122 0.872 Pa
0.000 0.500 0.000 Ni
0.500 0.500 0.500 Ni
0.000 0.500 0.500 Mn
0.500 0.000 0.500 Mn

---

3.
AcIn2Ga6 (PBE, relaxed); D(E_F) = 4.8 states/eV/cell; energy = -3.2143 eV per atom; M_tot = 0.0 Bohr magnetons per cell
1.0
4.264 0.000 0.000
0.000 6.622 -3.823
0.000 0.000 7.647
Ga In Ac
6 2 1
direct
0.500 0.000 0.661 Ga
0.500 0.339 0.000 Ga
0.500 0.661 0.000 Ga
0.500 0.000 0.339 Ga
0.500 0.661 0.661 Ga
0.500 0.339 0.339 Ga
0.000 0.667 0.333 In
0.000 0.333 0.667 In
0.000 0.000 0.000 Ac

---

4.
NaSrBe (PBE, relaxed); D(E_F) = 4.4 states/eV/cell; energy = -1.7015 eV per atom; M_tot = 0.0 Bohr magnetons per cell
1.0
4.252 0.000 0.000
0.000 4.474 0.000
0.000 0.000 9.817
Be Na Sr
2 2 2
direct
0.500 0.000 0.182 Be
0.500 0.500 0.682 Be
0.500 0.500 0.992 Na
0.500 0.000 0.492 Na
0.000 0.000 0.793 Sr
0.000 0.500 0.293 Sr

---

5.
Nd2Dy3Er6Zr (PBE, relaxed); D(E_F) = 15.0 states/eV/cell; energy = -4.8867 eV per atom; M_tot = 0.0 Bohr magnetons per cell
1.0
6.086 0.003 0.002
-3.039 5.273 0.002
-1.014 -1.756 11.443
Er Nd Dy Zr
6 2 3 1
direct
0.243 0.243 0.753 Er
0.757 0.757 0.247 Er
0.083 0.409 0.248 Er
0.917 0.591 0.752 Er
0.591 0.917 0.752 Er
0.409 0.083 0.248 Er
0.333 0.667 0.000 Nd
0.667 0.333 0.000 Nd
0.166 0.834 0.500 Dy
0.834 0.166 0.500 Dy
0.500 0.500 0.500 Dy
0.000 0.000 0.000 Zr

---

6.
Th7Ga2Ge2 (PBE, relaxed); D(E_F) = 10.6 states/eV/cell; energy = -6.2482 eV per atom; M_tot = 0.0 Bohr magnetons per cell
1.0
6.811 -0.003 -0.834
0.003 7.199 0.003
-1.256 -0.002 6.745
Th Ge Ga
7 2 2
direct
0.000 0.714 0.500 Th
0.500 0.257 0.500 Th
0.000 0.286 0.500 Th
0.500 0.286 0.000 Th
0.500 0.743 0.500 Th
0.000 0.000 0.000 Th
0.500 0.714 0.000 Th
0.725 0.000 0.275 Ge
0.275 0.000 0.725 Ge
0.162 0.500 0.162 Ga
0.838 0.500 0.838 Ga